(1)
The following is a DFT calculation (PBE) of an optimized crystal structure of P2IrF.

Values from the calculation:
**Raw formation energy**: -290 meV/atom
**Uncorrected energy**: -22.71 eV/f.u.
**Magnetic moment**: 0.000 μB/f.u.

POSCAR file:
```
P2IrF
1.0
-2.6742 2.6742 5.4340
2.6742 -2.6742 5.4340
2.6742 2.6742 -5.4340
P Ir F
4 2 2
direct
0.0910 0.6250 0.9660
0.3750 0.3410 0.4660
0.6590 0.1250 0.0340
0.8750 0.9090 0.5340
0.0000 0.0000 0.0000
0.7500 0.2500 0.5000
0.2500 0.7500 0.5000
0.5000 0.5000 0.0000
```

---

(2)
The following is a DFT calculation (PBE) of an optimized crystal structure of P2IrF.

Values from the calculation:
**Raw formation energy**: -358 meV/atom
**Uncorrected energy**: -22.98 eV/f.u.
**Magnetic moment**: 0.000 μB/f.u.

POSCAR file:
```
P2IrF
1.0
0.0000 2.9172 2.9172
2.9172 0.0000 2.9172
2.9172 2.9172 0.0000
P Ir F
2 1 1
direct
0.2500 0.2500 0.2500
0.7500 0.7500 0.7500
0.0000 0.0000 0.0000
0.5000 0.5000 0.5000
```

---

(3)
The following is a DFT calculation (PBE) of an optimized crystal structure of PIr3F.

Values from the calculation:
**Raw formation energy**: 788 meV/atom
**Uncorrected energy**: -29.93 eV/f.u.
**Magnetic moment**: 1.176 μB/f.u.

POSCAR file:
```
PIr3F
1.0
4.4025 0.0000 0.0000
0.0000 4.4025 0.0000
0.0000 0.0000 4.4025
P Ir F
1 3 1
direct
0.0000 0.0000 0.0000
0.0000 0.0000 0.5000
0.0000 0.5000 0.0000
0.5000 0.0000 0.0000
0.5000 0.5000 0.5000
```

---

(4)
The following is a DFT calculation (PBE) of an optimized crystal structure of PIr2F.

Values from the calculation:
**Raw formation energy**: -183 meV/atom
**Uncorrected energy**: -25.74 eV/f.u.
**Magnetic moment**: 0.000 μB/f.u.

POSCAR file:
```
PIr2F
1.0
0.0000 2.9063 2.9063
2.9063 0.0000 2.9063
2.9063 2.9063 0.0000
P Ir F
1 2 1
direct
0.0000 0.0000 0.0000
0.2500 0.2500 0.2500
0.7500 0.7500 0.7500
0.5000 0.5000 0.5000
```

---

(5)
The following is a DFT calculation (PBE) of an optimized crystal structure of PIr2F2.

Values from the calculation:
**Raw formation energy**: -547 meV/atom
**Uncorrected energy**: -29.61 eV/f.u.
**Magnetic moment**: 0.000 μB/f.u.

POSCAR file:
```
PIr2F2
1.0
5.9472 0.0000 0.0000
0.0000 5.9472 0.0000
0.0000 0.0000 4.2566
P Ir F
2 4 4
direct
0.0000 0.0000 0.0000
0.5000 0.5000 0.0000
0.1527 0.3473 0.0000
0.3473 0.8473 0.0000
0.6527 0.1527 0.0000
0.8473 0.6527 0.0000
0.1582 0.3418 0.5000
0.3418 0.8418 0.5000
0.6582 0.1582 0.5000
0.8418 0.6582 0.5000
```

---

(6)
The following is a DFT calculation (PBE) of an optimized crystal structure of PIr2F2.

Values from the calculation:
**Raw formation energy**: -90 meV/atom
**Uncorrected energy**: -27.32 eV/f.u.
**Magnetic moment**: 2.255 μB/f.u.

POSCAR file:
```
PIr2F2
1.0
-1.6287 1.6287 5.9441
1.6287 -1.6287 5.9441
1.6287 1.6287 -5.9441
P Ir F
1 2 2
direct
0.0000 0.0000 0.0000
0.3963 0.3963 0.0000
0.6037 0.6037 0.0000
0.2500 0.7500 0.5000
0.7500 0.2500 0.5000
```

---

(7)
The following is a DFT calculation (PBE) of an optimized crystal structure of PIr2F.

Values from the calculation:
**Raw formation energy**: -79 meV/atom
**Uncorrected energy**: -25.32 eV/f.u.
**Magnetic moment**: 0.000 μB/f.u.

POSCAR file:
```
PIr2F
1.0
-3.6635 3.6635 2.2548
3.6635 -3.6635 2.2548
3.6635 3.6635 -2.2548
P Ir F
2 4 2
direct
0.0000 0.0000 0.0000
0.7500 0.2500 0.5000
0.0418 0.6250 0.9168
0.3750 0.2918 0.4168
0.7082 0.1250 0.0832
0.8750 0.9582 0.5832
0.2500 0.7500 0.5000
0.5000 0.5000 0.0000
```

---

(8)
The following is a DFT calculation (PBE) of an optimized crystal structure of Rb2PIrF6.

Values from the calculation:
**Raw formation energy**: -1660 meV/atom
**Uncorrected energy**: -44.04 eV/f.u.
**Magnetic moment**: 1.946 μB/f.u.

POSCAR file:
```
Rb2PIrF6
1.0
-2.9614 2.9614 5.1593
2.9614 -2.9614 5.1593
2.9614 2.9614 -5.1593
Rb P Ir F
2 1 1 6
direct
0.2500 0.7500 0.5000
0.7500 0.2500 0.5000
0.0000 0.0000 0.0000
0.5000 0.5000 0.0000
0.2334 0.2334 0.4668
0.2334 0.7666 0.0000
0.3009 0.3009 0.0000
0.6991 0.6991 0.0000
0.7666 0.2334 0.0000
0.7666 0.7666 0.5332
```